Below is a geometry-optimized BaLiY2 structure, with properties calculated at the PBE-GGA level.

Summary:
The calculation puts the magnetization at 0.3 μB/f.u. The value obtained for the energy above the lowest structure with this stoichiometry is 0.210 eV/atom. The calculation puts the formation energy at 346 meV/atom.

Cell: 6.4482 6.4482 3.6948 Å, 90.00 90.00 114.07°
With the nearest neighbours (Å) after each atom.
Fractional positions:
Y: 0.0000 0.0000 0.0000  4 Y 3.51-3.69, 4 Ba 3.72, 4 Li 3.72
Y: 0.5000 0.5000 0.0000  4 Y 3.51-3.69, 4 Li 3.72, 4 Ba 3.72
Ba: 0.5000 0.0000 0.5000  2 Li 3.51, 2 Ba 3.69, 8 Y 3.72
Li: 0.0000 0.5000 0.5000  2 Ba 3.51, 2 Li 3.69, 8 Y 3.72